First-principles (GGA-PBE) data for a relaxed ScSi2Ag crystal, as listed in Alexandria.

Calculated values
- E_tot (eV for the cell shown) = -19.5
- total moment (μB/cell) = 0.00
- E_form (uncorrected) (meV/atom) = 122

Lattice parameters (Å, degrees): 9.231 9.231 9.231 18.54 18.54 18.54
Positions (direct):
1 Sc 0.000 0.000 0.000
2 Si 0.249 0.249 0.249
3 Si 0.751 0.751 0.751
4 Ag 0.500 0.500 0.500